## Rb2Hf3AgO8 (PBE-GGA)

Data for crystalline Rb2Hf3AgO8 at its relaxed geometry.

Output
V (Å³ per cell): 254
Magnetization (μB per cell): 1.0
Final energy (eV for the cell shown): -109.84
Formation energy from raw total energies (eV/f.u.): -35.533

Unit cell a=7.875 b=7.875 c=7.875 alpha=48.86 beta=48.86 gamma=48.86
Element x y z (fractional)
1 Rb 0.000 0.000 0.000
2 Rb 0.354 0.354 0.354
3 Hf 0.000 0.000 0.501
4 Hf 0.000 0.501 0.000
5 Hf 0.501 0.000 0.000
6 Ag 0.515 0.515 0.515
7 O 0.180 0.741 0.741
8 O 0.218 0.218 0.218
9 O 0.269 0.269 0.811
10 O 0.269 0.811 0.269
11 O 0.741 0.180 0.741
12 O 0.741 0.741 0.180
13 O 0.783 0.783 0.783
14 O 0.811 0.269 0.269